1.
! RePNF2, relaxed, DFT PBE-GGA; values from VASP
! Polymorph energy (0 for the lowest one), meV per atom: 641.1
! Space-group type: P4/mmm
! ΔE_f (raw), eV/atom: 0.7622
! Crystal system: tetragonal
&SYSTEM
  ibrav = 0, nat = 5, ntyp = 4
/
ATOMIC_SPECIES
Re 186.21 Re.upf
F 19.00 F.upf
N 14.01 N.upf
P 30.97 P.upf
CELL_PARAMETERS angstrom
3.800 0.000 0.000
0.000 3.800 0.000
0.000 0.000 4.624
ATOMIC_POSITIONS crystal
Re 0.500 0.500 0.500
F 0.000 0.500 0.000
N 0.000 0.000 0.500
F 0.500 0.000 0.000
P 0.000 0.000 0.000

***

2.
! CaMg, relaxed, DFT PBE-GGA; values from VASP
! Formation energy from the elements, kJ/mol of formula units: -6
! Space-group type: Amm2
! Crystal system: orthorhombic
&SYSTEM
  ibrav = 0, nat = 6, ntyp = 2
/
ATOMIC_SPECIES
Mg 24.30 Mg.upf
Ca 40.08 Ca.upf
CELL_PARAMETERS angstrom
2.745 -6.202 0.000
2.745 6.202 0.000
0.000 0.000 5.504
ATOMIC_POSITIONS crystal
Mg 0.818 0.182 0.500
Ca 0.153 0.847 0.500
Ca 0.645 0.355 0.000
Mg 0.453 0.547 0.500
Mg 0.310 0.690 0.000
Ca 0.955 0.045 0.000

***

Calculated raw total energy (eV for the cell shown), listed in the same order as above: -26.11, -10.99